# TlCdAgPd (GGA-PBE, optimized geometry)
# - E_form (eV per formula unit) = -0.27
data_TlCdAgPd
_chemical_formula_sum 'Tl4 Cd4 Ag4 Pd4'
_symmetry_space_group_name_H-M 'F -4 3 m'
_symmetry_Int_Tables_number 216
_symmetry_space_group_name_Hall 'F -4 2 3'
_cell_length_a 6.785
_cell_length_b 6.785
_cell_length_c 6.785
_cell_angle_alpha 90.00
_cell_angle_beta 90.00
_cell_angle_gamma 90.00
loop_
_atom_site_label
_atom_site_type_symbol
_atom_site_fract_x
_atom_site_fract_y
_atom_site_fract_z
Tl1 Tl 0.000 0.000 0.000
Cd1 Cd 0.000 0.000 0.500
Ag1 Ag 0.250 0.250 0.250
Pd1 Pd 0.250 0.250 0.750

# PmZnPd2 (GGA-PBE, optimized geometry)
# - E_form (eV per formula unit) = -2.91
data_PmZnPd2
_chemical_formula_sum 'Pm4 Zn4 Pd8'
_symmetry_space_group_name_H-M 'P n m a'
_symmetry_Int_Tables_number 62
_cell_length_a 7.371
_cell_length_b 7.270
_cell_length_c 5.692
_cell_angle_alpha 90.00
_cell_angle_beta 90.00
_cell_angle_gamma 90.00
loop_
_symmetry_equiv_pos_as_xyz
'x,y,z'
'-x,-y,-z'
'-x+1/2,-y,z+1/2'
'x+1/2,y,-z+1/2'
'x+1/2,-y+1/2,-z+1/2'
'-x+1/2,y+1/2,z+1/2'
'-x,y+1/2,-z'
'x,-y+1/2,z'
loop_
_atom_site_label
_atom_site_type_symbol
_atom_site_fract_x
_atom_site_fract_y
_atom_site_fract_z
Pm1 Pm 0.028 0.250 0.138
Zn1 Zn 0.115 0.750 0.357
Pd1 Pd 0.182 0.051 0.589

# Ir4Br3 (GGA-PBE, optimized geometry)
# - E_form (uncorrected) (eV per atom) = 1.9383
data_Ir4Br3
_chemical_formula_sum 'Ir4 Br3'
_symmetry_space_group_name_H-M 'P 6/m m m'
_symmetry_Int_Tables_number 191
_symmetry_space_group_name_Hall '-P 6 2'
_cell_length_a 6.0184
_cell_length_b 6.0184
_cell_length_c 4.5271
_cell_angle_alpha 90.00
_cell_angle_beta 90.00
_cell_angle_gamma 120.00
loop_
_atom_site_label
_atom_site_type_symbol
_atom_site_fract_x
_atom_site_fract_y
_atom_site_fract_z
Ir1 Ir 0.0000 0.0000 0.2476
Ir2 Ir 0.3333 0.6667 0.0000
Br1 Br 0.0000 0.5000 0.5000

no.,size of the total moment (μB/atom)
1,0.000
2,0.000
3,0.000